1) Below is a relaxed V4Ni2N crystal, with properties calculated at the GGA-PBE level.

## Properties
Its theoretical density is 6961 kg/m3.

Cell lengths 7.6759, 7.6759, 7.6759 Å; angles 60.00, 60.00, 60.00 degrees
Closest atoms and distances in Å follow each position.
Positions (direct):
V: 0.0000 0.0000 0.0000  6 Ni 2.34
V: 0.0000 0.0000 0.5000  6 Ni 2.34
V: 0.0000 0.5000 0.0000  6 Ni 2.34
V: 0.1946 0.1946 0.5554  2 N 2.01
V: 0.1946 0.5554 0.1946  2 N 2.01
V: 0.1946 0.5554 0.5554  2 N 2.01
V: 0.4446 0.4446 0.8054  2 N 2.01
V: 0.4446 0.8054 0.4446  2 N 2.01
V: 0.4446 0.8054 0.8054  2 N 2.01
V: 0.5000 0.0000 0.0000  6 Ni 2.34
V: 0.5554 0.1946 0.1946  2 N 2.01
V: 0.5554 0.1946 0.5554  2 N 2.01
V: 0.5554 0.5554 0.1946  2 N 2.01
V: 0.8054 0.4446 0.4446  2 N 2.01
V: 0.8054 0.4446 0.8054  2 N 2.01
V: 0.8054 0.8054 0.4446  2 N 2.01
Ni: 0.1206 0.7931 0.7931  6 V 2.34-2.58, 3 Ni 2.51
Ni: 0.2069 0.2069 0.2069  6 V 2.34-2.58, 3 Ni 2.51
Ni: 0.2069 0.2069 0.8794  6 V 2.34-2.58, 3 Ni 2.51
Ni: 0.2069 0.8794 0.2069  6 V 2.34-2.58, 3 Ni 2.51
Ni: 0.7931 0.1206 0.7931  6 V 2.34-2.58, 3 Ni 2.51
Ni: 0.7931 0.7931 0.1206  6 V 2.34-2.58, 3 Ni 2.51
Ni: 0.7931 0.7931 0.7931  6 V 2.34-2.58, 3 Ni 2.51
Ni: 0.8794 0.2069 0.2069  6 V 2.34-2.58, 3 Ni 2.51
N: 0.0000 0.5000 0.5000  6 V 2.01
N: 0.5000 0.0000 0.5000  6 V 2.01
N: 0.5000 0.5000 0.0000  6 V 2.01
N: 0.5000 0.5000 0.5000  6 V 2.01

---

2) Below is a relaxed V4Ni2N crystal, with properties calculated at the GGA-PBE level.

## Properties
Its theoretical density is 6386 kg/m3.

Cell lengths 3.8437, 3.8437, 11.7986 Å; angles 90.00, 90.00, 90.00 degrees
Closest atoms and distances in Å follow each position.
Positions (direct):
V: 0.0000 0.0000 0.1730  1 N 2.04, 1 Ni 2.27
V: 0.0000 0.0000 0.8270  1 N 2.04, 1 Ni 2.27
V: 0.0000 0.5000 0.0000  2 N 1.92
V: 0.0000 0.5000 0.5000  2 N 1.92
V: 0.5000 0.0000 0.0000  2 N 1.92
V: 0.5000 0.0000 0.5000  2 N 1.92
V: 0.5000 0.5000 0.3270  1 N 2.04, 1 Ni 2.27
V: 0.5000 0.5000 0.6730  1 N 2.04, 1 Ni 2.27
Ni: 0.0000 0.0000 0.3652  5 V 2.27-2.49
Ni: 0.0000 0.0000 0.6348  5 V 2.27-2.49
Ni: 0.5000 0.5000 0.1348  5 V 2.27-2.49
Ni: 0.5000 0.5000 0.8652  5 V 2.27-2.49
N: 0.0000 0.0000 0.0000  6 V 1.92-2.04
N: 0.5000 0.5000 0.5000  6 V 1.92-2.04

---

Result of the stability comparison: 1) is the most stable of them.

---

1) Below is a relaxed NiWN crystal, with properties calculated at the GGA-PBE level.

## Properties
Its theoretical density is 12271 kg/m3.

Cell lengths 2.7500, 2.7500, 9.1809 Å; angles 90.00, 90.00, 90.00 degrees
Closest atoms and distances in Å follow each position.
Positions (direct):
Ni: 0.0000 0.0000 0.0000  5 N 2.65-2.74, 5 W 2.68-2.74, 4 Ni 2.75
Ni: 0.5000 0.5000 0.5000  5 N 2.65-2.74, 5 W 2.68-2.74, 4 Ni 2.75
W: 0.0000 0.0000 0.2985  4 N 2.10
W: 0.5000 0.5000 0.7985  4 N 2.10
N: 0.0000 0.0000 0.7109  4 W 2.10
N: 0.5000 0.5000 0.2109  4 W 2.10

---

2) Below is a relaxed NiWN crystal, with properties calculated at the GGA-PBE level.

## Properties
Its theoretical density is 11702 kg/m3.

Cell lengths 3.4187, 3.4187, 3.5966 Å; angles 90.00, 90.00, 120.00 degrees
Closest atoms and distances in Å follow each position.
Positions (direct):
Ni: 0.0000 0.0000 0.0000  6 W 2.67, 6 N 2.67
W: 0.6667 0.3333 0.5000  3 N 1.97
N: 0.3333 0.6667 0.5000  3 W 1.97

---

Result of the stability comparison: 1) is the most stable of them.

---

1) Below is a relaxed YNi2N crystal, with properties calculated at the GGA-PBE level.

## Properties
Its theoretical density is 6044 kg/m3.

Cell lengths 4.4670, 4.4670, 12.1318 Å; angles 90.00, 90.00, 90.00 degrees
Closest atoms and distances in Å follow each position.
Positions (direct):
Y: 0.0000 0.2500 0.3750  8 Ni 2.92, 4 N 3.16
Y: 0.0000 0.7500 0.6250  8 Ni 2.92, 4 N 3.16
Y: 0.5000 0.2500 0.1250  8 Ni 2.92, 4 N 3.16
Y: 0.5000 0.7500 0.8750  8 Ni 2.92, 4 N 3.16
Ni: 0.0000 0.0000 0.0000  2 N 1.88
Ni: 0.0000 0.5000 0.0000  2 N 1.88
Ni: 0.2500 0.2500 0.7500  2 N 1.88
Ni: 0.2500 0.7500 0.2500  2 N 1.88
Ni: 0.5000 0.0000 0.5000  2 N 1.88
Ni: 0.5000 0.5000 0.5000  2 N 1.88
Ni: 0.7500 0.2500 0.7500  2 N 1.88
Ni: 0.7500 0.7500 0.2500  2 N 1.88
N: 0.0000 0.2500 0.8750  4 Ni 1.88
N: 0.0000 0.7500 0.1250  4 Ni 1.88
N: 0.5000 0.2500 0.6250  4 Ni 1.88
N: 0.5000 0.7500 0.3750  4 Ni 1.88

---

2) Below is a relaxed YNi2N crystal, with properties calculated at the GGA-PBE level.

## Properties
Its theoretical density is 6978 kg/m3.

Cell lengths 5.9412, 5.9412, 5.9412 Å; angles 90.00, 90.00, 90.00 degrees
Closest atoms and distances in Å follow each position.
Positions (direct):
Y: 0.0000 0.0000 0.0000  8 Ni 2.57
Y: 0.0000 0.5000 0.5000  8 Ni 2.57
Y: 0.5000 0.0000 0.5000  8 Ni 2.57
Y: 0.5000 0.5000 0.0000  8 Ni 2.57
Ni: 0.2500 0.2500 0.2500  4 Y 2.57, 4 N 2.57
Ni: 0.2500 0.2500 0.7500  4 Y 2.57, 4 N 2.57
Ni: 0.2500 0.7500 0.2500  4 Y 2.57, 4 N 2.57
Ni: 0.2500 0.7500 0.7500  4 Y 2.57, 4 N 2.57
Ni: 0.7500 0.2500 0.2500  4 Y 2.57, 4 N 2.57
Ni: 0.7500 0.2500 0.7500  4 Y 2.57, 4 N 2.57
Ni: 0.7500 0.7500 0.2500  4 Y 2.57, 4 N 2.57
Ni: 0.7500 0.7500 0.7500  4 N 2.57, 4 Y 2.57
N: 0.0000 0.0000 0.5000  8 Ni 2.57
N: 0.0000 0.5000 0.0000  8 Ni 2.57
N: 0.5000 0.0000 0.0000  8 Ni 2.57
N: 0.5000 0.5000 0.5000  8 Ni 2.57

---

Result of the stability comparison: 1) is the most stable of them.

---

1) Below is a relaxed YNi3N crystal, with properties calculated at the GGA-PBE level.

## Properties
Its theoretical density is 4278 kg/m3.

Cell lengths 4.7665, 4.7665, 4.7665 Å; angles 90.00, 90.00, 90.00 degrees
Closest atoms and distances in Å follow each position.
Positions (direct):
Y: 0.0000 0.0000 0.0000  6 Ni 2.38
Ni: 0.0000 0.0000 0.5000  2 Y 2.38
Ni: 0.0000 0.5000 0.0000  2 Y 2.38
Ni: 0.5000 0.0000 0.0000  2 Y 2.38
N: 0.5000 0.5000 0.5000  12 Ni 3.37

---

2) Below is a relaxed YNi3N crystal, with properties calculated at the GGA-PBE level.

## Properties
Its theoretical density is 7390 kg/m3.

Cell lengths 3.9725, 3.9725, 3.9725 Å; angles 90.00, 90.00, 90.00 degrees
Closest atoms and distances in Å follow each position.
Positions (direct):
Y: 0.0000 0.0000 0.0000  12 Ni 2.81
Ni: 0.0000 0.5000 0.5000  2 N 1.99
Ni: 0.5000 0.0000 0.5000  2 N 1.99
Ni: 0.5000 0.5000 0.0000  2 N 1.99
N: 0.5000 0.5000 0.5000  6 Ni 1.99

---

Result of the stability comparison: 2) is the most stable of them.